First-principles (PBE) data for a relaxed structure of BeInSe, as listed in Alexandria via LeMat-Bulk.

The structure belongs to space group P3m1 (No. 156); the cell edges are 3.5813, 3.5813 and 6.1454 Å and the angles 90.00°, 90.00° and 120.00°. The distinct sites, in fractional coordinates, are Be at (0.0000, 0.0000, 0.0000), In at (0.6667, 0.3333, 0.6287) and Se at (0.3333, 0.6667, 0.1098).

The volume is 22.8 Å³ per atom. The value obtained for the density is 4.93 Mg/m³. The value obtained for the energy above the most stable polymorph in this dataset is 0.0 meV per atom. As for the density of states at the Fermi level: 0.65 states/eV/f.u. The total energy is -0.26216 Ry per atom.